An optimized crystal structure of NaCoF3, computed with GGA+U.

Cell lengths 3.0856, 10.2794, 7.5175 Å; angles 90.00, 90.00, 90.00 degrees
Last column: nearest neighbours and their distance in Å.
Space group Cmcm (No. 63)
One atom of each set of equivalent atoms:
Na  0.0000  0.2468  0.2500 (multiplicity 4)  6 F 2.33-2.46
Co  0.0000  0.5000  0.0000 (multiplicity 4)  6 F 2.04-2.08
F  0.0000  0.1292  0.5599 (multiplicity 8)  2 Co 2.08
F  0.0000  0.4226  0.7500 (multiplicity 4)  2 Co 2.04

Results
total DFT energy (no corrections)	-4.786	eV per atom
DOS at the Fermi energy	0.00	states/eV per cell